1.
# ZnTeW2 (PBE, optimized geometry)
data_ZnTeW2
_cell_length_a 3.328
_cell_length_b 3.328
_cell_length_c 6.303
_cell_angle_alpha 90.00
_cell_angle_beta 90.00
_cell_angle_gamma 90.00
_space_group_name_H-M_alt 'P 4 m m'
_space_group_IT_number 99
loop_
_space_group_symop_operation_xyz
'x,y,z'
'-y,x,z'
'-x,-y,z'
'y,-x,z'
'-x,y,z'
'y,x,z'
'x,-y,z'
'-y,-x,z'
loop_
_atom_site_label
_atom_site_type_symbol
_atom_site_fract_x
_atom_site_fract_y
_atom_site_fract_z
Zn1 Zn 0.000 0.000 0.000
Te1 Te 0.500 0.500 0.300
W1 W 0.000 0.000 0.554
W2 W 0.500 0.500 0.795
# - magnetization (μB per formula unit) = 0.0
# - formation energy without anion corrections (eV per atom) = 0.4185
# - energy above the most stable polymorph in this dataset (eV/atom) = 0.0000

=====

2.
# ZnTeW2 (PBE, optimized geometry)
data_ZnTeW2
_cell_length_a 2.868
_cell_length_b 4.586
_cell_length_c 5.568
_cell_angle_alpha 90.00
_cell_angle_beta 90.32
_cell_angle_gamma 90.00
_space_group_name_H-M_alt 'P 1 2/m 1'
_space_group_IT_number 10
loop_
_space_group_symop_operation_xyz
'x,y,z'
'-x,-y,-z'
'-x,y,-z'
'x,-y,z'
loop_
_atom_site_label
_atom_site_type_symbol
_atom_site_fract_x
_atom_site_fract_y
_atom_site_fract_z
Zn1 Zn 0.000 0.000 0.000
Te1 Te 0.500 0.000 0.500
W1 W 0.348 0.500 0.788
# - magnetization (μB per formula unit) = 0.0
# - formation energy without anion corrections (eV per atom) = 0.7776
# - energy above the most stable polymorph in this dataset (eV/atom) = 0.3592

=====

Question: formation energy without anion corrections of number 1 (ZnTeW2)?
Answer: 0.4185 eV per atom

=====

Question: Which value of magnetization does entry 1 give?
Answer: 0.0 μB per formula unit

=====

Question: Number 1 is which compound?
Answer: ZnTeW2

=====

Question: Which of these has the lowest energy above the most stable polymorph in this dataset?
Answer: number 1